# PBE-GGA Ac2ErSn, optimized geometry
data_Ac2ErSn
_cell_length_a 4.437
_cell_length_b 4.437
_cell_length_c 7.290
_cell_angle_alpha 90.00
_cell_angle_beta 90.00
_cell_angle_gamma 90.00
_symmetry_space_group_name_H-M 'P 4/m m m'
_symmetry_Int_Tables_number 123
_symmetry_space_group_name_Hall '-P 4 2'
loop_
_atom_site_label
_atom_site_type_symbol
_atom_site_fract_x
_atom_site_fract_y
_atom_site_fract_z
Ac1 Ac 0.000 0.000 0.232
Er1 Er 0.500 0.500 0.500
Sn1 Sn 0.500 0.500 0.000
# * E_form: -0.2677 eV/atom
# * ΔE to the lowest computed polymorph: 36.7 meV per atom
# * M_tot: 0.0000 μB per atom
# * total DFT energy (no corrections): -4.46 eV/atom